Entry 1:
Here is Zn2Sb2Te after structural relaxation from Alexandria via LeMat-Bulk. Energies are from PBE-GGA.

Results
The value obtained for the density of states at the Fermi level is 2.6 states/eV/cell. Its excess energy over the best structure of this formula in the dataset is 0.00 kJ/mol of atoms. The uncorrected formation energy is 130 meV per atom. The calculation puts the uncorrected energy at -2.66 eV per atom. The size of the total moment comes out at 0.00 μB per cell. Its space group is I4/mmm (139).

Unit cell a=3.909 b=3.909 c=8.427 alpha=76.59 beta=76.59 gamma=90.00
Sites, in units of the cell vectors:
Sb1 0.379 0.379 0.242
Sb2 0.621 0.621 0.758
Zn1 0.750 0.250 0.500
Zn2 0.250 0.750 0.500
Te1 0.000 0.000 0.000

Entry 2:
Here is OsRh2Cl after structural relaxation from Alexandria via LeMat-Bulk. Energies are from PBE-GGA.

Results
The value obtained for the density of states at the Fermi level is 4.0 states/eV/cell. Its excess energy over the best structure of this formula in the dataset is 0.00 kJ/mol of atoms. The uncorrected formation energy is 282 meV per atom. The calculation puts the uncorrected energy at -6.66 eV per atom. The size of the total moment comes out at 0.00 μB per cell. Its space group is R-3m (166).

Unit cell a=8.588 b=8.588 c=8.588 alpha=19.04 beta=19.04 gamma=19.04
Sites, in units of the cell vectors:
Cl1 0.250 0.250 0.250
Os1 0.750 0.750 0.750
Rh1 0.000 0.000 0.000
Rh2 0.500 0.500 0.500

Entry 3:
Here is GaAs2PdSe after structural relaxation from Alexandria via LeMat-Bulk. Energies are from PBE-GGA.

Results
The value obtained for the density of states at the Fermi level is 5.5 states/eV/cell. Its excess energy over the best structure of this formula in the dataset is 0.00 kJ/mol of atoms. The uncorrected formation energy is 442 meV per atom. The calculation puts the uncorrected energy at -3.76 eV per atom. The size of the total moment comes out at 0.46 μB per cell. Its space group is P4/mmm (123).

Unit cell a=4.826 b=4.826 c=5.338 alpha=90.00 beta=90.00 gamma=90.00
Last column: magnetic moment on the atom in μB.
Sites, in units of the cell vectors:
As1 0.000 0.500 0.000  0.09
As2 0.500 0.000 0.000  0.09
Ga1 0.500 0.500 0.500  0.01
Se1 0.000 0.000 0.500  0.02
Pd1 0.000 0.000 0.000  0.04

Entry 4:
Here is Er2TmGa6 after structural relaxation from Alexandria via LeMat-Bulk. Energies are from PBE-GGA.

Results
Its formation energy from the elements is -0.45 eV per atom. The value obtained for the density of states at the Fermi level is 4.6 states/eV/cell. Its excess energy over the best structure of this formula in the dataset is 14.85 kJ/mol of atoms. The calculation puts the uncorrected energy at -3.98 eV per atom. The size of the total moment comes out at 0.00 μB per cell. Its space group is Immm (71).

Unit cell a=4.262 b=6.886 c=7.804 alpha=116.18 beta=105.85 gamma=90.00
Sites, in units of the cell vectors:
Er1 0.876 0.876 0.751
Er2 0.124 0.124 0.249
Tm1 0.000 0.500 0.000
Ga1 0.686 0.879 0.371
Ga2 0.314 0.121 0.629
Ga3 0.314 0.507 0.629
Ga4 0.500 0.192 0.000
Ga5 0.500 0.808 0.000
Ga6 0.686 0.493 0.371